Entry 1:
Compound: CoAsI
Source: Alexandria via LeMat-Bulk
Functional: GGA-PBE
Structure: optimized geometry

POSCAR file:
```
CoAsI
1.0
-2.7445 0.1077 -2.4590
1.7515 -5.9776 -2.2198
-2.9643 -0.1880 5.9567
As I Co
2 2 2
Direct
0.8241 0.1400 0.6547 As
0.1759 0.8600 0.3453 As
0.6190 0.3233 0.2274 I
0.3810 0.6767 0.7726 I
0.2442 0.2439 0.4885 Co
0.7558 0.7561 0.5115 Co
```

Formation energy (no corrections) in meV/atom: -11

Entry 2:
Compound: Pr2Cd2Pd5Pb
Source: Alexandria via LeMat-Bulk
Functional: GGA-PBE
Structure: optimized geometry

POSCAR file:
```
Pr2Cd2Pd5Pb
1.0
3.8297 0.0000 0.0000
0.0000 10.5585 0.0000
0.0000 0.0000 10.5585
Pd Cd Pr Pb
10 4 4 2
Direct
0.5000 0.4631 0.2942 Pd
0.5000 0.7058 0.4631 Pd
0.5000 0.2942 0.5369 Pd
0.5000 0.7942 0.9631 Pd
0.5000 0.0369 0.7942 Pd
0.5000 0.5000 0.0000 Pd
0.5000 0.9631 0.2058 Pd
0.5000 0.5369 0.7058 Pd
0.5000 0.0000 0.5000 Pd
0.5000 0.2058 0.0369 Pd
0.0000 0.3723 0.1277 Cd
0.0000 0.1277 0.6277 Cd
0.0000 0.6277 0.8723 Cd
0.0000 0.8723 0.3723 Cd
0.0000 0.8291 0.6709 Pr
0.0000 0.1709 0.3291 Pr
0.0000 0.6709 0.1709 Pr
0.0000 0.3291 0.8291 Pr
0.0000 0.5000 0.5000 Pb
0.0000 0.0000 0.0000 Pb
```

ΔE_f in kJ/mol of atoms: -43.6